Computed, not measured: an optimized crystal structure of HfScPa2 at the GGA-PBE level of DFT.

a b c (Å): 11.058 11.058 11.058
angles (deg): 16.61 16.61 16.61
Atoms (fractional coordinates):
Hf 0.000 0.000 0.000
Sc 0.834 0.834 0.834
Pa 0.416 0.416 0.416
Pa 0.584 0.584 0.584

Properties
M_tot = 0.00 μB/f.u.
formation energy from the elements = 0.080 eV/atom
polymorph energy (0 for the lowest one) = 0.00 eV per formula unit
symmetry = No. 160